Below is HoAg2BiS4 after structural relaxation, with properties calculated at the GGA-PBE level.

Output
symmetry: P2/m
E_form (uncorrected): -6.0 eV/f.u.

a b c (Å): 6.7022 4.0169 7.0164
angles (deg): 90.00 111.05 90.00
Fractional coordinates of all 8 atoms:
Ho 0.0000 0.0000 0.0000
Ag 0.5000 0.0000 0.5000
Ag 0.5000 0.5000 0.0000
Bi 0.0000 0.5000 0.5000
S 0.2425 0.5000 0.2437
S 0.2514 0.0000 0.7617
S 0.7486 0.0000 0.2383
S 0.7575 0.5000 0.7563

=====

Below is HoAgBi2S5 after structural relaxation, with properties calculated at the GGA-PBE level.

Output
symmetry: Cmc2_1
E_form (uncorrected): -6.6 eV/f.u.

a b c (Å): 9.5711 9.5711 13.0383
angles (deg): 90.00 90.00 155.77
Fractional coordinates of all 18 atoms:
Ho 0.2030 0.7970 0.5000
Ho 0.7970 0.2030 0.0000
Ag 0.4347 0.5653 0.9352
Ag 0.5653 0.4347 0.4352
Bi 0.0890 0.9110 0.7431
Bi 0.1605 0.8395 0.1854
Bi 0.8395 0.1605 0.6854
Bi 0.9110 0.0890 0.2431
S 0.0612 0.9388 0.5505
S 0.2974 0.7026 0.1515
S 0.2997 0.7003 0.8606
S 0.3468 0.6532 0.5472
S 0.4962 0.5038 0.7673
S 0.5038 0.4962 0.2673
S 0.6532 0.3468 0.0472
S 0.7003 0.2997 0.3606
S 0.7026 0.2974 0.6515
S 0.9388 0.0612 0.0505

=====

Below is Ho2Ag3BiS6 after structural relaxation, with properties calculated at the GGA-PBE level.

Output
symmetry: C2/m
E_form (uncorrected): -11.1 eV/f.u.

a b c (Å): 8.8129 8.8129 7.7394
angles (deg): 99.91 99.91 26.31
Fractional coordinates of all 12 atoms:
Ho 0.1676 0.1676 0.3288
Ho 0.8324 0.8324 0.6712
Ag 0.1722 0.1722 0.8156
Ag 0.5000 0.5000 0.5000
Ag 0.8278 0.8278 0.1844
Bi 0.5000 0.5000 0.0000
S 0.0037 0.0037 0.2594
S 0.3295 0.3295 0.4270
S 0.3335 0.3335 0.9151
S 0.6665 0.6665 0.0849
S 0.6705 0.6705 0.5730
S 0.9963 0.9963 0.7406

=====

Below is HoScAgBi after structural relaxation, with properties calculated at the GGA-PBE level.

Output
symmetry: F-43m
DFT formation energy: -0.356 eV per atom

a b c (Å): 7.3157 7.3157 7.3157
angles (deg): 90.00 90.00 90.00
Fractional coordinates of all 16 atoms:
Ho 0.0000 0.0000 0.0000
Ho 0.0000 0.5000 0.5000
Ho 0.5000 0.0000 0.5000
Ho 0.5000 0.5000 0.0000
Sc 0.0000 0.0000 0.5000
Sc 0.0000 0.5000 0.0000
Sc 0.5000 0.0000 0.0000
Sc 0.5000 0.5000 0.5000
Ag 0.2500 0.2500 0.7500
Ag 0.2500 0.7500 0.2500
Ag 0.7500 0.2500 0.2500
Ag 0.7500 0.7500 0.7500
Bi 0.2500 0.2500 0.2500
Bi 0.2500 0.7500 0.7500
Bi 0.7500 0.2500 0.7500
Bi 0.7500 0.7500 0.2500

=====

Below is Ho2Ag3BiSe6 after structural relaxation, with properties calculated at the GGA-PBE level.

Output
symmetry: C2/m
E_form (uncorrected): -10.3 eV/f.u.

a b c (Å): 9.1437 9.1437 8.1108
angles (deg): 100.49 100.49 26.34
Fractional coordinates of all 12 atoms:
Ho 0.1682 0.1682 0.3270
Ho 0.8318 0.8318 0.6730
Ag 0.1697 0.1697 0.8170
Ag 0.5000 0.5000 0.5000
Ag 0.8303 0.8303 0.1830
Bi 0.5000 0.5000 0.0000
Se 0.0017 0.0017 0.2600
Se 0.3318 0.3318 0.4269
Se 0.3318 0.3318 0.9189
Se 0.6682 0.6682 0.0811
Se 0.6682 0.6682 0.5731
Se 0.9983 0.9983 0.7400

=====

Below is SmHoAgBi after structural relaxation, with properties calculated at the GGA-PBE level.

Output
symmetry: F-43m
DFT formation energy: -0.428 eV per atom

a b c (Å): 7.5439 7.5439 7.5439
angles (deg): 90.00 90.00 90.00
Fractional coordinates of all 16 atoms:
Sm 0.0000 0.0000 0.0000
Sm 0.0000 0.5000 0.5000
Sm 0.5000 0.0000 0.5000
Sm 0.5000 0.5000 0.0000
Ho 0.0000 0.0000 0.5000
Ho 0.0000 0.5000 0.0000
Ho 0.5000 0.0000 0.0000
Ho 0.5000 0.5000 0.5000
Ag 0.2500 0.2500 0.7500
Ag 0.2500 0.7500 0.2500
Ag 0.7500 0.2500 0.2500
Ag 0.7500 0.7500 0.7500
Bi 0.2500 0.2500 0.2500
Bi 0.2500 0.7500 0.7500
Bi 0.7500 0.2500 0.7500
Bi 0.7500 0.7500 0.2500

=====

Below is TbHoAgBi after structural relaxation, with properties calculated at the GGA-PBE level.

Output
symmetry: F-43m
DFT formation energy: -0.410 eV per atom

a b c (Å): 7.4955 7.4955 7.4955
angles (deg): 90.00 90.00 90.00
Fractional coordinates of all 16 atoms:
Tb 0.0000 0.0000 0.0000
Tb 0.0000 0.5000 0.5000
Tb 0.5000 0.0000 0.5000
Tb 0.5000 0.5000 0.0000
Ho 0.0000 0.0000 0.5000
Ho 0.0000 0.5000 0.0000
Ho 0.5000 0.0000 0.0000
Ho 0.5000 0.5000 0.5000
Ag 0.2500 0.2500 0.7500
Ag 0.2500 0.7500 0.2500
Ag 0.7500 0.2500 0.2500
Ag 0.7500 0.7500 0.7500
Bi 0.2500 0.2500 0.2500
Bi 0.2500 0.7500 0.7500
Bi 0.7500 0.2500 0.7500
Bi 0.7500 0.7500 0.2500

=====

Below is AgBiI3 after structural relaxation, with properties calculated at the GGA-PBE level.

Output
symmetry: C2/m
E_form (uncorrected): -0.8 eV/f.u.
excess energy over the best structure of this formula in the dataset: 0 kJ/mol of formula units

a b c (Å): 8.2555 8.2555 12.9082
angles (deg): 109.76 109.76 28.78
Fractional coordinates of all 10 atoms:
Ag 0.1304 0.1304 0.3702
Ag 0.8696 0.8696 0.6298
Bi 0.4754 0.4754 0.2962
Bi 0.5246 0.5246 0.7038
I 0.1509 0.1509 0.8782
I 0.3479 0.3479 0.4492
I 0.3813 0.3813 0.8052
I 0.6187 0.6187 0.1948
I 0.6521 0.6521 0.5508
I 0.8491 0.8491 0.1218

=====

no.,magnetization (Bohr magnetons per cell)
1,0.00
2,0.00
3,0.00
4,4.16
5,0.00
6,0.02
7,2.51
8,0.00